1.
Mn2CrRu | PBE | relaxed

a b c (Å): 2.594 3.938 4.917
angles (deg): 90.00 104.98 90.00
Space group Pm (No. 6)
Symmetry-distinct sites (fractional):
Mn: 0.000 0.000 0.000
Mn: 0.387 0.500 0.783
Cr: 0.281 0.000 0.528
Ru: 0.658 0.500 0.299

Values from the calculation:
Volume (Å³/f.u.): 48.5
ρ (g/cm3): 9.00
VASP energy (Ry/atom): -0.6745

---

2.
Ho2ErSe | PBE | relaxed

a b c (Å): 3.583 3.583 8.414
angles (deg): 90.00 90.00 90.00
Space group P4/mmm (No. 123)
Symmetry-distinct sites (fractional):
Ho: 0.000 0.000 0.210
Er: 0.500 0.500 0.500
Se: 0.500 0.500 0.000

Values from the calculation:
Formation energy (no corrections) (eV per formula unit): -2.714
Volume (Å³/f.u.): 108.0
ΔE to the lowest computed polymorph (eV/atom): 0.1228
ρ (g/cm3): 8.85

---

3.
TbB3Ru3 | PBE | relaxed

a b c (Å): 7.435 6.873 7.483
angles (deg): 90.00 102.61 90.00
Space group P2_1 (No. 4)
Symmetry-distinct sites (fractional):
Tb: 0.021 0.000 0.270
Tb: 0.450 0.433 0.155
B: 0.076 0.389 0.099
B: 0.156 0.629 0.200
B: 0.206 0.815 0.622
B: 0.315 0.309 0.821
B: 0.363 0.004 0.121
B: 0.444 0.090 0.461
Ru: 0.059 0.424 0.368
Ru: 0.144 0.158 0.939
Ru: 0.202 0.779 0.977
Ru: 0.240 0.154 0.590
Ru: 0.360 0.788 0.399
Ru: 0.378 0.562 0.714

Values from the calculation:
Volume (Å³/f.u.): 93.3
ΔE to the lowest computed polymorph (eV/atom): 0.0358
ρ (g/cm3): 8.80

---

Copy entry 3 word for word.
TbB3Ru3 | PBE | relaxed

a b c (Å): 7.435 6.873 7.483
angles (deg): 90.00 102.61 90.00
Space group P2_1 (No. 4)
Symmetry-distinct sites (fractional):
Tb: 0.021 0.000 0.270
Tb: 0.450 0.433 0.155
B: 0.076 0.389 0.099
B: 0.156 0.629 0.200
B: 0.206 0.815 0.622
B: 0.315 0.309 0.821
B: 0.363 0.004 0.121
B: 0.444 0.090 0.461
Ru: 0.059 0.424 0.368
Ru: 0.144 0.158 0.939
Ru: 0.202 0.779 0.977
Ru: 0.240 0.154 0.590
Ru: 0.360 0.788 0.399
Ru: 0.378 0.562 0.714

Values from the calculation:
Volume (Å³/f.u.): 93.3
ΔE to the lowest computed polymorph (eV/atom): 0.0358
ρ (g/cm3): 8.80

---

Question: Among the records above, which one has the highest ρ?
Answer: Mn2CrRu

---

Question: What is the volume in the first record?
Answer: 48.5 Å³/f.u.